Entry 1:
The following is a GGA-PBE calculation of a relaxed Pm6Er8Pu crystal, from Alexandria via LeMat-Bulk.

```
Pm6Er8Pu
1.0
-2.972 6.705 4.482
-3.619 -1.743 7.599
4.460 2.241 6.998
Er Pm Pu
8 6 1
Cartesian
2.225 3.468 9.374
-1.228 4.151 10.995
-2.684 0.745 9.854
-4.357 3.736 9.705
0.553 6.458 9.226
-0.903 3.052 8.084
0.437 1.184 11.204
-2.569 6.020 7.875
-1.307 0.272 6.179
-3.513 4.685 13.448
-0.825 6.931 12.901
-1.940 3.512 4.885
1.381 2.519 5.631
-0.192 3.691 14.194
0.000 0.000 0.000
```

Calculated values
Symmetry = R-3
V = 482 Å³ per cell
Density of states at the Fermi level = 19.9 states/eV/cell
Formation enthalpy at 0 K = 0.11 eV/atom
Crystal system = trigonal

---

Entry 2:
The following is a GGA-PBE calculation of a relaxed PmEr6Pu crystal, from Alexandria via LeMat-Bulk.

```
PmEr6Pu
1.0
-0.405 -4.779 -1.166
9.755 -0.400 -1.749
-4.073 -1.032 5.642
Er Pu Pm
6 1 1
Cartesian
2.821 -3.414 2.565
2.669 -0.408 0.747
7.487 -0.606 -0.117
0.001 -2.700 0.621
0.201 -5.707 2.426
-2.017 -3.216 3.432
4.874 -2.895 -0.276
5.476 -1.117 2.674
```

Calculated values
Symmetry = Amm2
V = 244 Å³ per cell
Density of states at the Fermi level = 16.5 states/eV/cell
Formation enthalpy at 0 K = 0.06 eV/atom
Crystal system = orthorhombic

---

Entry 3:
The following is a GGA-PBE calculation of a relaxed Pm2ErPu crystal, from Alexandria via LeMat-Bulk.

```
Pm2ErPu
1.0
3.582 0.000 0.000
1.791 3.102 0.000
1.791 1.034 11.492
Pm Pu Er
2 1 1
Cartesian
1.791 1.034 2.856
1.791 1.034 8.639
3.582 2.068 0.001
3.582 2.068 5.741
```

Calculated values
Symmetry = R3m
V = 128 Å³ per cell
Density of states at the Fermi level = 11.7 states/eV/cell
Energy above the most stable polymorph in this dataset = 7 meV/atom
Formation enthalpy at 0 K = 0.12 eV/atom
Crystal system = trigonal

---

Entry 4:
The following is a GGA-PBE calculation of a relaxed Pm6Er2Pu crystal, from Alexandria via LeMat-Bulk.

```
Pm6Er2Pu
1.0
10.229 0.000 0.000
0.000 5.862 -0.546
0.000 1.192 9.773
Er Pm Pu
4 12 2
Cartesian
0.942 3.301 3.177
9.287 3.753 6.050
6.056 0.226 1.437
4.173 6.828 7.790
9.442 5.727 1.226
8.500 3.610 9.446
5.901 3.393 6.386
7.743 2.911 2.977
4.328 3.661 2.841
2.629 0.616 1.636
1.729 3.444 -0.219
7.600 6.438 7.590
3.386 1.110 4.941
2.486 4.143 6.250
0.787 1.327 8.001
6.843 5.944 4.286
5.114 2.931 -0.273
0.000 0.596 4.887
```

Calculated values
Symmetry = P2_1/c
V = 593 Å³ per cell
Density of states at the Fermi level = 34.9 states/eV/cell
Formation enthalpy at 0 K = 0.16 eV/atom
Crystal system = monoclinic